1.
LuU after structural relaxation. Source: the Open Quantum Materials Database, functional PBE-GGA.

The structure belongs to space group P-6m2 (No. 187); the cell edges are 3.1816, 3.1816 and 5.6406 Å and the angles 90.00°, 90.00° and 120.00°. The asymmetric unit holds Lu at (0.0000, 0.0000, 0.0000) and U at (0.6667, 0.3333, 0.5000).

As for the formation enthalpy at 0 K: 0.39 eV per atom. The calculation puts the energy above the lowest structure with this stoichiometry at 0.0000 eV per atom. For the total magnetic moment, the calculation gives 1.84 μB per cell.

2.
LuU after structural relaxation. Source: the Open Quantum Materials Database, functional PBE-GGA.

The structure belongs to space group F-43m (No. 216); the cell edges are 6.618, 6.618 and 6.618 Å and the angles 90.00°, 90.00° and 90.00°. The asymmetric unit holds Lu at (0.000, 0.000, 0.000) and U at (0.250, 0.250, 0.750).

As for the formation enthalpy at 0 K: 2.68 eV per atom. The calculation puts the energy above the lowest structure with this stoichiometry at 2.2931 eV per atom. For the total magnetic moment, the calculation gives 13.92 μB per cell.

3.
LuU after structural relaxation. Source: the Open Quantum Materials Database, functional PBE-GGA.

The structure belongs to space group Fm-3m (No. 225); the cell edges are 6.155, 6.155 and 6.155 Å and the angles 90.00°, 90.00° and 90.00°. The asymmetric unit holds Lu at (0.000, 0.000, 0.000) and U at (0.000, 0.000, 0.500).

As for the formation enthalpy at 0 K: 1.52 eV per atom. The calculation puts the energy above the lowest structure with this stoichiometry at 1.1296 eV per atom. For the total magnetic moment, the calculation gives 16.76 μB per cell.

4.
LuUW after structural relaxation. Source: the Open Quantum Materials Database, functional PBE-GGA.

The structure belongs to space group F-43m (No. 216); the cell edges are 6.601, 6.601 and 6.601 Å and the angles 90.00°, 90.00° and 90.00°. The asymmetric unit holds Lu at (0.000, 0.000, 0.000), U at (0.250, 0.250, 0.250) and W at (0.000, 0.000, 0.500).

As for the formation enthalpy at 0 K: 1.46 eV per atom. The calculation puts the energy above the lowest structure with this stoichiometry at 0.0000 eV per atom. For the total magnetic moment, the calculation gives 8.84 μB per cell.

5.
YLuU after structural relaxation. Source: the Open Quantum Materials Database, functional PBE-GGA.

The structure belongs to space group F-43m (No. 216); the cell edges are 7.430, 7.430 and 7.430 Å and the angles 90.00°, 90.00° and 90.00°. The asymmetric unit holds Y at (0.000, 0.000, 0.000), Lu at (0.250, 0.250, 0.750) and U at (0.000, 0.000, 0.500).

As for the formation enthalpy at 0 K: 1.27 eV per atom. The calculation puts the energy above the lowest structure with this stoichiometry at 0.0000 eV per atom. For the total magnetic moment, the calculation gives 15.16 μB per cell.

6.
LuUZn after structural relaxation. Source: the Open Quantum Materials Database, functional PBE-GGA.

The structure belongs to space group F-43m (No. 216); the cell edges are 6.707, 6.707 and 6.707 Å and the angles 90.00°, 90.00° and 90.00°. The asymmetric unit holds Lu at (0.000, 0.000, 0.000), U at (0.000, 0.000, 0.500) and Zn at (0.250, 0.250, 0.250).

As for the formation enthalpy at 0 K: 0.65 eV per atom. The calculation puts the energy above the lowest structure with this stoichiometry at 0.0000 eV per atom. For the total magnetic moment, the calculation gives 12.61 μB per cell.

7.
YLu2W after structural relaxation. Source: the Open Quantum Materials Database, functional PBE-GGA.

The structure belongs to space group F-43m (No. 216); the cell edges are 7.266, 7.266 and 7.266 Å and the angles 90.00°, 90.00° and 90.00°. The asymmetric unit holds Y at (0.000, 0.000, 0.000), Lu at (0.000, 0.000, 0.500), Lu at (0.250, 0.250, 0.250) and W at (0.250, 0.250, 0.750).

As for the formation enthalpy at 0 K: 0.47 eV per atom. For the total magnetic moment, the calculation gives 0.10 μB per cell.

8.
LuZnW after structural relaxation. Source: the Open Quantum Materials Database, functional PBE-GGA.

The structure belongs to space group F-43m (No. 216); the cell edges are 6.574, 6.574 and 6.574 Å and the angles 90.00°, 90.00° and 90.00°. The asymmetric unit holds Lu at (0.000, 0.000, 0.000), Zn at (0.250, 0.250, 0.250) and W at (0.250, 0.250, 0.750).

As for the formation enthalpy at 0 K: 1.41 eV per atom. The calculation puts the energy above the lowest structure with this stoichiometry at 0.3145 eV per atom. For the total magnetic moment, the calculation gives 11.56 μB per cell.

9.
LuZnW2 after structural relaxation. Source: the Open Quantum Materials Database, functional PBE-GGA.

The structure belongs to space group F-43m (No. 216); the cell edges are 6.531, 6.531 and 6.531 Å and the angles 90.00°, 90.00° and 90.00°. The asymmetric unit holds Lu at (0.000, 0.000, 0.000), Zn at (0.250, 0.250, 0.750), W at (0.000, 0.000, 0.500) and W at (0.250, 0.250, 0.250).

As for the formation enthalpy at 0 K: 0.26 eV per atom. For the total magnetic moment, the calculation gives 0.06 μB per cell.

10.
LuZnW after structural relaxation. Source: the Open Quantum Materials Database, functional PBE-GGA.

The structure belongs to space group F-43m (No. 216); the cell edges are 6.515, 6.515 and 6.515 Å and the angles 90.00°, 90.00° and 90.00°. The asymmetric unit holds Lu at (0.000, 0.000, 0.000), Zn at (0.000, 0.000, 0.500) and W at (0.250, 0.250, 0.250).

As for the formation enthalpy at 0 K: 1.09 eV per atom. The calculation puts the energy above the lowest structure with this stoichiometry at 0.0000 eV per atom. For the total magnetic moment, the calculation gives 10.75 μB per cell.

11.
YLu2 after structural relaxation. Source: the Open Quantum Materials Database, functional PBE-GGA.

The structure belongs to space group Fd-3m (No. 227, origin choice 2); the cell edges are 9.153, 9.153 and 9.153 Å and the angles 90.00°, 90.00° and 90.00°. The asymmetric unit holds Y at (0.125, 0.125, 0.125) and Lu at (0.000, 0.000, 0.500).

As for the formation enthalpy at 0 K: 0.26 eV per atom. For the total magnetic moment, the calculation gives 16.34 μB per cell.

12.
YLuZn after structural relaxation. Source: the Open Quantum Materials Database, functional PBE-GGA.

The structure belongs to space group F-43m (No. 216); the cell edges are 6.923, 6.923 and 6.923 Å and the angles 90.00°, 90.00° and 90.00°. The asymmetric unit holds Y at (0.000, 0.000, 0.000), Lu at (0.250, 0.250, 0.250) and Zn at (0.000, 0.000, 0.500).

As for the formation enthalpy at 0 K: 0.61 eV per atom. For the total magnetic moment, the calculation gives 0.04 μB per cell.

13.
Y2LuZn after structural relaxation. Source: the Open Quantum Materials Database, functional PBE-GGA.

The structure belongs to space group F-43m (No. 216); the cell edges are 7.501, 7.501 and 7.501 Å and the angles 90.00°, 90.00° and 90.00°. The asymmetric unit holds Y at (0.000, 0.000, 0.000), Y at (0.250, 0.250, 0.250), Lu at (0.250, 0.250, 0.750) and Zn at (0.000, 0.000, 0.500).

As for the formation enthalpy at 0 K: 0.09 eV per atom. For the total magnetic moment, the calculation gives 1.65 μB per cell.

14.
YLu2Zr after structural relaxation. Source: the Open Quantum Materials Database, functional PBE-GGA.

The structure belongs to space group F-43m (No. 216); the cell edges are 7.696, 7.696 and 7.696 Å and the angles 90.00°, 90.00° and 90.00°. The asymmetric unit holds Y at (0.000, 0.000, 0.000), Lu at (0.000, 0.000, 0.500), Lu at (0.250, 0.250, 0.250) and Zr at (0.250, 0.250, 0.750).

As for the formation enthalpy at 0 K: 0.20 eV per atom. For the total magnetic moment, the calculation gives 12.92 μB per cell.

15.
LuZn after structural relaxation. Source: the Open Quantum Materials Database, functional PBE-GGA.

The structure belongs to space group Amm2 (No. 38); the cell edges are 5.144, 15.665 and 5.374 Å and the angles 90.00°, 90.00° and 90.00°. The asymmetric unit holds Lu at (0.000, 0.000, 0.000), Lu at (0.000, 0.111, 0.519), Lu at (0.500, 0.114, 0.125), Zn at (0.000, 0.200, 0.995), Zn at (0.500, 0.000, 0.637) and Zn at (0.500, 0.198, 0.638).

As for the formation enthalpy at 0 K: -0.10 eV per atom. For the total magnetic moment, the calculation gives 0.02 μB per cell.

16.
LuZn after structural relaxation. Source: the Open Quantum Materials Database, functional PBE-GGA.

The structure belongs to space group Pmmn (No. 59, origin choice 2); the cell edges are 4.822, 12.541 and 5.759 Å and the angles 90.00°, 90.00° and 90.00°. The asymmetric unit holds Lu at (0.250, 0.010, 0.175), Lu at (0.250, 0.129, 0.649), Zn at (0.250, 0.250, 0.161), Zn at (0.250, 0.627, 0.684) and Zn at (0.250, 0.750, 0.122).

As for the formation enthalpy at 0 K: 0.00 eV per atom. For the total magnetic moment, the calculation gives 0.02 μB per cell.

17.
LuZn after structural relaxation. Source: the Open Quantum Materials Database, functional PBE-GGA.

The structure belongs to space group Pbcm (No. 57); the cell edges are 6.162, 5.496 and 5.256 Å and the angles 90.00°, 90.00° and 90.00°. The asymmetric unit holds Lu at (0.165, 0.044, 0.250) and Zn at (0.358, 0.557, 0.250).

As for the formation enthalpy at 0 K: -0.13 eV per atom. For the total magnetic moment, the calculation gives 0.02 μB per cell.

18.
LuZn after structural relaxation. Source: the Open Quantum Materials Database, functional PBE-GGA.

The structure belongs to space group Pmmn (No. 59, origin choice 2); the cell edges are 4.886, 12.231 and 5.711 Å and the angles 90.00°, 90.00° and 90.00°. The asymmetric unit holds Lu at (0.250, 0.081, 0.112), Lu at (0.250, 0.250, 0.630), Lu at (0.250, 0.750, 0.781), Zn at (0.250, 0.507, 0.627) and Zn at (0.250, 0.641, 0.253).

As for the formation enthalpy at 0 K: -0.20 eV per atom. For the total magnetic moment, the calculation gives 0.10 μB per cell.

19.
LuZn after structural relaxation. Source: the Open Quantum Materials Database, functional PBE-GGA.

The structure belongs to space group F-43m (No. 216); the cell edges are 6.355, 6.355 and 6.355 Å and the angles 90.00°, 90.00° and 90.00°. The asymmetric unit holds Lu at (0.000, 0.000, 0.000) and Zn at (0.250, 0.250, 0.750).

As for the formation enthalpy at 0 K: 0.65 eV per atom. For the total magnetic moment, the calculation gives 0.01 μB per cell.

20.
LuZn after structural relaxation. Source: the Open Quantum Materials Database, functional PBE-GGA.

The structure belongs to space group Pmm2 (No. 25); the cell edges are 4.641, 7.306 and 5.057 Å and the angles 90.00°, 90.00° and 90.00°. The asymmetric unit holds Lu at (0.000, 0.000, 0.000), Lu at (0.000, 0.293, 0.529), Lu at (0.500, 0.000, 0.489), Zn at (0.000, 0.500, 0.031), Zn at (0.500, 0.271, 0.937) and Zn at (0.500, 0.500, 0.343).

As for the formation enthalpy at 0 K: -0.06 eV per atom. For the total magnetic moment, the calculation gives 0.01 μB per cell.